Entry 1:
HfTl3Sb2O9 after structural relaxation. Source: Alexandria via LeMat-Bulk, functional PBE-GGA.

Lattice parameters (Å, degrees): 5.7952 5.7952 7.1005 90.00 90.00 120.00
Fractional coordinates of all 15 atoms:
Hf: 0.0000 0.0000 0.5000
Tl: 0.3333 0.6667 0.6665
Tl: 0.0000 0.0000 0.0000
Tl: 0.6667 0.3333 0.3335
Sb: 0.3333 0.6667 0.1685
Sb: 0.6667 0.3333 0.8315
O: 0.8307 0.1693 0.6724
O: 0.8307 0.6614 0.6724
O: 0.3386 0.1693 0.6724
O: 0.6614 0.8307 0.3276
O: 0.1693 0.3386 0.3276
O: 0.1693 0.8307 0.3276
O: 0.5000 0.0000 0.0000
O: 0.0000 0.5000 0.0000
O: 0.5000 0.5000 0.0000

## Properties
* total moment: 0.0 Bohr magnetons per cell
* formation energy (no corrections): -1.47 eV per atom

Entry 2:
Tb5Ru4Pt after structural relaxation. Source: Alexandria via LeMat-Bulk, functional PBE-GGA.

Lattice parameters (Å, degrees): 3.4454 3.4454 17.0046 90.00 90.00 90.00
Fractional coordinates of all 10 atoms:
Tb: 0.5000 0.5000 0.1034
Tb: 0.5000 0.5000 0.3014
Tb: 0.5000 0.5000 0.5000
Tb: 0.5000 0.5000 0.6986
Tb: 0.5000 0.5000 0.8966
Ru: 0.0000 0.0000 0.1992
Ru: 0.0000 0.0000 0.4005
Ru: 0.0000 0.0000 0.5995
Ru: 0.0000 0.0000 0.8008
Pt: 0.0000 0.0000 0.0000

## Properties
* E_form: -503 meV per atom
* total moment: 0.0 Bohr magnetons per cell

Entry 3:
ReAg2Os after structural relaxation. Source: Alexandria via LeMat-Bulk, functional PBE-GGA.

Lattice parameters (Å, degrees): 5.1136 5.1136 4.6875 80.60 80.60 31.71
Fractional coordinates of all 4 atoms:
Re: 0.2500 0.2500 0.2500
Os: 0.7500 0.7500 0.7500
Ag: 0.0000 0.0000 0.0003
Ag: 0.5000 0.5000 0.4997

## Properties
* E_form: 671 meV per atom
* total moment: 0.0 Bohr magnetons per cell

Entry 4:
ScIn2P after structural relaxation. Source: Alexandria via LeMat-Bulk, functional PBE-GGA.

Lattice parameters (Å, degrees): 8.2655 8.2655 8.2655 25.76 25.76 25.76
Last column: magnetic moment on the atom in μB.
Fractional coordinates of all 4 atoms:
Sc: 0.0000 0.0000 0.0000  -0.20
In: 0.7631 0.7631 0.7631  0.00
In: 0.2369 0.2369 0.2369  0.00
P: 0.5000 0.5000 0.5000  0.00

## Properties
* E_form: -20 meV per atom
* total moment: 0.4 Bohr magnetons per cell

Entry 5:
Sc2VS4 after structural relaxation. Source: Alexandria via LeMat-Bulk, functional PBE-GGA.

Lattice parameters (Å, degrees): 3.6353 6.4591 6.9424 119.02 105.18 90.00
Last column: magnetic moment on the atom in μB.
Fractional coordinates of all 7 atoms:
Sc: 0.7317 0.7456 0.4633  0.09
Sc: 0.2683 0.2544 0.5367  0.09
V: 0.0000 0.0000 0.0000  2.25
S: 0.8829 0.1968 0.7658  -0.02
S: 0.1171 0.8032 0.2342  -0.02
S: 0.6290 0.2761 0.2580  -0.03
S: 0.3710 0.7239 0.7420  -0.03

## Properties
* total moment: 2.8 Bohr magnetons per cell
* formation energy (no corrections): -1.57 eV per atom

Entry 6:
CoPt4W after structural relaxation. Source: Alexandria via LeMat-Bulk, functional PBE-GGA.

Lattice parameters (Å, degrees): 5.1577 5.1577 5.1577 60.00 60.00 60.00
Last column: magnetic moment on the atom in μB.
Fractional coordinates of all 6 atoms:
Co: 0.0000 0.0000 0.0000  1.80
Pt: 0.8754 0.3749 0.3749  0.03
Pt: 0.3749 0.3749 0.8754  0.03
Pt: 0.3749 0.8754 0.3749  0.03
Pt: 0.3749 0.3749 0.3749  0.03
W: 0.7500 0.7500 0.7500  -0.38

## Properties
* E_form: 362 meV per atom
* total moment: 1.4 Bohr magnetons per cell

Entry 7:
AgSb2Se after structural relaxation. Source: Alexandria via LeMat-Bulk, functional PBE-GGA.

Lattice parameters (Å, degrees): 7.1922 7.1931 7.1931 33.68 33.67 33.67
Fractional coordinates of all 4 atoms:
Sb: 0.0028 0.0029 0.0029
Sb: 0.2502 0.2502 0.2502
Se: 0.4908 0.4908 0.4908
Ag: 0.7561 0.7561 0.7561

## Properties
* total moment: 0.0 Bohr magnetons per cell
* formation energy (no corrections): 0.00 eV per atom

Entry 8:
HgBSN2 after structural relaxation. Source: Alexandria via LeMat-Bulk, functional PBE-GGA.

Lattice parameters (Å, degrees): 4.2525 4.2525 5.3807 90.00 90.00 90.00
Last column: magnetic moment on the atom in μB.
Fractional coordinates of all 5 atoms:
S: 0.0000 0.0000 0.5000  0.21
B: 0.5000 0.5000 0.5000  -0.02
Hg: 0.0000 0.0000 0.0000  0.12
N: 0.0000 0.5000 0.0000  1.18
N: 0.5000 0.0000 0.0000  1.18

## Properties
* total moment: 3.8 Bohr magnetons per cell
* formation energy (no corrections): 2.79 eV per atom